Record 1
# TmMgTe3Au | the Open Quantum Materials Database | PBE | optimized geometry
data_TmMgTe3Au
_chemical_formula_sum 'Tm2 Mg2 Te6 Au2'
_cell_length_a 8.195
_cell_length_b 4.153
_cell_length_c 9.995
_cell_angle_alpha 90.00
_cell_angle_beta 103.49
_cell_angle_gamma 90.00
_symmetry_space_group_name_H-M 'P 1 21/m 1'
_symmetry_Int_Tables_number 11
loop_
_symmetry_equiv_pos_as_xyz
'x,y,z'
'-x,-y,-z'
'-x,y+1/2,-z'
'x,-y+1/2,z'
loop_
_atom_site_label
_atom_site_type_symbol
_atom_site_fract_x
_atom_site_fract_y
_atom_site_fract_z
_atom_site_occupancy
Tm1 Tm 0.187 0.250 0.184 1
Mg1 Mg 0.276 0.750 0.718 1
Te1 Te 0.095 0.250 0.862 1
Te2 Te 0.191 0.250 0.490 1
Te3 Te 0.450 0.750 0.157 1
Au1 Au 0.390 0.750 0.419 1
# Distance to the lowest polymorph of the same formula: 0 meV per atom

Record 2
# TbYNCl3 | the Open Quantum Materials Database | PBE | optimized geometry
data_TbYNCl3
_chemical_formula_sum 'Tb4 Y4 N4 Cl12'
_cell_length_a 15.894
_cell_length_b 3.853
_cell_length_c 10.531
_cell_angle_alpha 90.00
_cell_angle_beta 119.97
_cell_angle_gamma 90.00
_symmetry_space_group_name_H-M 'C 1 2/m 1'
_symmetry_Int_Tables_number 12
loop_
_symmetry_equiv_pos_as_xyz
'x,y,z'
'-x,-y,-z'
'-x,y,-z'
'x,-y,z'
'x+1/2,y+1/2,z'
'-x+1/2,-y+1/2,-z'
'-x+1/2,y+1/2,-z'
'x+1/2,-y+1/2,z'
loop_
_atom_site_label
_atom_site_type_symbol
_atom_site_fract_x
_atom_site_fract_y
_atom_site_fract_z
_atom_site_occupancy
Tb1 Tb 0.137 0.000 0.294 1
Y1 Y 0.087 0.500 0.952 1
N1 N 0.076 0.500 0.157 1
Cl1 Cl 0.051 0.000 0.744 1
Cl2 Cl 0.164 0.500 0.516 1
Cl3 Cl 0.224 0.000 0.113 1
# Electronic total energy: -150.69 eV per cell

Record 3
# Ta2Zn3W4N3 | the Open Quantum Materials Database | PBE | optimized geometry
data_Ta2Zn3W4N3
_chemical_formula_sum 'Ta8 Zn12 W16 N12'
_cell_length_a 8.684
_cell_length_b 5.012
_cell_length_c 14.756
_cell_angle_alpha 90.00
_cell_angle_beta 101.29
_cell_angle_gamma 90.00
_symmetry_space_group_name_H-M 'C 1 2/c 1'
_symmetry_Int_Tables_number 15
loop_
_symmetry_equiv_pos_as_xyz
'x,y,z'
'-x,-y,-z'
'-x,y,-z+1/2'
'x,-y,z+1/2'
'x+1/2,y+1/2,z'
'-x+1/2,-y+1/2,-z'
'-x+1/2,y+1/2,-z+1/2'
'x+1/2,-y+1/2,z+1/2'
loop_
_atom_site_label
_atom_site_type_symbol
_atom_site_fract_x
_atom_site_fract_y
_atom_site_fract_z
_atom_site_occupancy
Ta1 Ta 0.051 0.083 0.401 1
Zn1 Zn 0.000 0.267 0.750 1
Zn2 Zn 0.175 0.258 0.250 1
W1 W 0.115 0.417 0.596 1
W2 W 0.218 0.417 0.905 1
N1 N 0.083 0.249 0.000 1
N2 N 0.250 0.250 0.500 1
# Electronic total energy: -424.30 eV per cell